# PBE SmCo2Cu3, optimized geometry
data_SmCo2Cu3
_space_group_name_H-M_alt 'P 6/m m m'
_space_group_IT_number 191
_space_group_name_Hall '-P 6 2'
_cell_length_a 4.9574
_cell_length_b 4.9574
_cell_length_c 4.1200
_cell_angle_alpha 90.00
_cell_angle_beta 90.00
_cell_angle_gamma 120.00
loop_
_atom_site_label
_atom_site_type_symbol
_atom_site_fract_x
_atom_site_fract_y
_atom_site_fract_z
Sm1 Sm 0.0000 0.0000 0.0000
Co1 Co 0.3333 0.6667 0.0000
Cu1 Cu 0.0000 0.5000 0.5000
# * crystal system: hexagonal
# * energy of formation from the pure elements: -0.035 eV per atom
# * DOS at the Fermi energy: 4.97 states/eV/f.u.
# * calculated total energy: -5.24 eV/atom

# PBE La2Tm3Au2, optimized geometry
data_La2Tm3Au2
_space_group_name_H-M_alt 'C 1 2/m 1'
_space_group_IT_number 12
_space_group_name_Hall '-C 2y'
_cell_length_a 12.977
_cell_length_b 3.740
_cell_length_c 9.273
_cell_angle_alpha 90.00
_cell_angle_beta 117.45
_cell_angle_gamma 90.00
loop_
_atom_site_label
_atom_site_type_symbol
_atom_site_fract_x
_atom_site_fract_y
_atom_site_fract_z
La1 La 0.153 0.000 0.316
Tm1 Tm 0.000 0.500 0.500
Tm2 Tm 0.116 0.500 0.946
Au1 Au 0.163 0.000 0.738
# * crystal system: monoclinic
# * energy of formation from the pure elements: -0.518 eV per atom
# * DOS at the Fermi energy: 8.94 states/eV/f.u.
# * calculated total energy: -4.78 eV/atom

# PBE LaReMo2, optimized geometry
data_LaReMo2
_space_group_name_H-M_alt 'C 1 2/m 1'
_space_group_IT_number 12
_space_group_name_Hall '-C 2y'
_cell_length_a 5.811
_cell_length_b 9.211
_cell_length_c 2.888
_cell_angle_alpha 90.00
_cell_angle_beta 110.09
_cell_angle_gamma 90.00
loop_
_atom_site_label
_atom_site_type_symbol
_atom_site_fract_x
_atom_site_fract_y
_atom_site_fract_z
La1 La 0.000 0.000 0.000
Re1 Re 0.000 0.500 0.000
Mo1 Mo 0.250 0.250 0.500
# * crystal system: monoclinic
# * energy of formation from the pure elements: 0.611 eV per atom
# * DOS at the Fermi energy: 3.56 states/eV/f.u.
# * calculated total energy: -9.15 eV/atom
# * energy relative to the lowest polymorph listed for this composition: 0.91 eV per formula unit

# PBE B2C3, optimized geometry
data_B2C3
_space_group_name_H-M_alt 'R -3 m'
_space_group_IT_number 166
_space_group_name_Hall '-R 3 2"'
_cell_length_a 2.6465
_cell_length_b 2.6465
_cell_length_c 37.2302
_cell_angle_alpha 90.00
_cell_angle_beta 90.00
_cell_angle_gamma 120.00
loop_
_atom_site_label
_atom_site_type_symbol
_atom_site_fract_x
_atom_site_fract_y
_atom_site_fract_z
B1 B 0.0000 0.0000 0.0516
B2 B 0.0000 0.0000 0.4344
C1 C 0.0000 0.0000 0.1743
C2 C 0.0000 0.0000 0.2144
C3 C 0.0000 0.0000 0.3894
# * crystal system: trigonal
# * energy of formation from the pure elements: 0.236 eV per atom
# * DOS at the Fermi energy: 0.41 states/eV/f.u.
# * calculated total energy: -7.97 eV/atom
# * energy relative to the lowest polymorph listed for this composition: 0.00 eV per formula unit

# PBE Ca3Cl, optimized geometry
data_Ca3Cl
_space_group_name_H-M_alt 'P m m m'
_space_group_IT_number 47
_space_group_name_Hall '-P 2 2'
_cell_length_a 3.729
_cell_length_b 3.943
_cell_length_c 10.069
_cell_angle_alpha 90.00
_cell_angle_beta 90.00
_cell_angle_gamma 90.00
loop_
_atom_site_label
_atom_site_type_symbol
_atom_site_fract_x
_atom_site_fract_y
_atom_site_fract_z
Ca1 Ca 0.000 0.000 0.000
Ca2 Ca 0.500 0.500 0.279
Cl1 Cl 0.000 0.500 0.500
# * crystal system: orthorhombic
# * DOS at the Fermi energy: 4.00 states/eV/f.u.
# * calculated total energy: -2.73 eV/atom
# * energy relative to the lowest polymorph listed for this composition: 0.09 eV per formula unit

# PBE Nd12SmBi6, optimized geometry
data_Nd12SmBi6
_space_group_name_H-M_alt 'R -3'
_space_group_IT_number 148
_space_group_name_Hall '-R 3'
_cell_length_a 14.5651
_cell_length_b 14.5651
_cell_length_c 11.4587
_cell_angle_alpha 90.00
_cell_angle_beta 90.00
_cell_angle_gamma 120.00
loop_
_atom_site_label
_atom_site_type_symbol
_atom_site_fract_x
_atom_site_fract_y
_atom_site_fract_z
Nd1 Nd 0.0215 0.8398 0.3582
Nd2 Nd 0.0686 0.8389 0.9022
Sm1 Sm 0.0000 0.0000 0.0000
Bi1 Bi 0.0268 0.7630 0.6312
# * crystal system: trigonal
# * energy of formation from the pure elements: -0.336 eV per atom
# * DOS at the Fermi energy: 16.66 states/eV/f.u.
# * calculated total energy: -4.82 eV/atom

# PBE ScRh2CF, optimized geometry
data_ScRh2CF
_space_group_name_H-M_alt 'P 4/m m m'
_space_group_IT_number 123
_space_group_name_Hall '-P 4 2'
_cell_length_a 3.875
_cell_length_b 3.875
_cell_length_c 4.789
_cell_angle_alpha 90.00
_cell_angle_beta 90.00
_cell_angle_gamma 90.00
loop_
_atom_site_label
_atom_site_type_symbol
_atom_site_fract_x
_atom_site_fract_y
_atom_site_fract_z
Sc1 Sc 0.000 0.000 0.000
Rh1 Rh 0.000 0.500 0.500
C1 C 0.500 0.500 0.500
F1 F 0.500 0.500 0.000
# * crystal system: tetragonal
# * DOS at the Fermi energy: 0.57 states/eV/f.u.
# * calculated total energy: -7.02 eV/atom
# * energy relative to the lowest polymorph listed for this composition: 0.00 eV per formula unit

# PBE Rb2AlPtBr6, optimized geometry
data_Rb2AlPtBr6
_space_group_name_H-M_alt 'I 4/m m m'
_space_group_IT_number 139
_space_group_name_Hall '-I 4 2'
_cell_length_a 7.403
_cell_length_b 7.403
_cell_length_c 11.435
_cell_angle_alpha 90.00
_cell_angle_beta 90.00
_cell_angle_gamma 90.00
loop_
_atom_site_label
_atom_site_type_symbol
_atom_site_fract_x
_atom_site_fract_y
_atom_site_fract_z
Rb1 Rb 0.000 0.500 0.250
Al1 Al 0.000 0.000 0.000
Pt1 Pt 0.000 0.000 0.500
Br1 Br 0.000 0.000 0.215
Br2 Br 0.245 0.245 0.500
# * crystal system: tetragonal
# * DOS at the Fermi energy: 3.67 states/eV/f.u.
# * calculated total energy: -3.15 eV/atom

# PBE Ca2LaRu, optimized geometry
data_Ca2LaRu
_space_group_name_H-M_alt 'F m -3 m'
_space_group_IT_number 225
_space_group_name_Hall '-F 4 2 3'
_cell_length_a 7.481
_cell_length_b 7.481
_cell_length_c 7.481
_cell_angle_alpha 90.00
_cell_angle_beta 90.00
_cell_angle_gamma 90.00
loop_
_atom_site_label
_atom_site_type_symbol
_atom_site_fract_x
_atom_site_fract_y
_atom_site_fract_z
Ca1 Ca 0.250 0.250 0.250
La1 La 0.000 0.000 0.000
Ru1 Ru 0.000 0.000 0.500
# * crystal system: cubic
# * energy of formation from the pure elements: 0.379 eV per atom
# * DOS at the Fermi energy: 4.97 states/eV/f.u.
# * calculated total energy: -4.17 eV/atom
# * energy relative to the lowest polymorph listed for this composition: 2.13 eV per formula unit

How do the records compare in V? In the order shown, they have 14.615, 28.529, 18.147, 7.528, 37.007, 36.933, 14.385, 31.334, 26.167 Å³ per atom.